No. 1
Cs2TlOs after structural relaxation. Source: Alexandria via LeMat-Bulk, functional GGA-PBE.

Structure (POSCAR):
```
Cs2TlOs
1.0
0.0000 4.2696 4.2696
4.2696 0.0000 4.2696
4.2696 4.2696 0.0000
Cs Tl Os
2 1 1
Cartesian
2.1348 2.1348 2.1348
6.4043 6.4043 6.4043
4.2696 4.2696 4.2696
0.0000 0.0000 0.0000
```

Space group   No. 225
Energy relative to the elements   1.406 eV/atom
Magnetization   1.5 μB per formula unit
VASP energy   -9.68 eV per cell
Calculated density   7.05 g cm⁻³

=====

No. 2
SrZrPa4N8 after structural relaxation. Source: Alexandria via LeMat-Bulk, functional GGA-PBE.

Structure (POSCAR):
```
SrZrPa4N8
1.0
7.0691 0.0000 0.0000
3.5345 6.1220 0.0000
3.5345 2.0407 5.5128
Sr Zr Pa N
1 1 4 8
Cartesian
7.0691 4.0813 4.7668
3.5345 2.0407 5.4622
7.0691 4.0813 0.7290
3.5345 4.0525 2.7663
5.2768 1.0348 2.7663
1.7923 1.0348 2.7663
7.0691 6.4987 4.0106
9.1626 2.8726 4.0106
4.9756 2.8726 4.0106
3.5345 2.0407 1.7445
7.0691 1.8670 1.4453
5.1514 5.1885 1.4453
8.9867 5.1885 1.4453
10.6036 6.1220 3.9770
```

Space group   No. 160
E_form (uncorrected)   -1.478 eV per atom
Magnetization   2.1 μB per formula unit
VASP energy   -135.51 eV per cell
Calculated density   8.46 g cm⁻³

=====

No. 3
Eu4As2O after structural relaxation. Source: Alexandria via LeMat-Bulk, functional GGA-PBE.

Structure (POSCAR):
```
Eu4As2O
1.0
8.6811 -0.0036 0.0000
6.0746 6.2017 0.0000
-7.3779 -3.0990 3.3653
Eu As O
4 2 1
Cartesian
-0.6516 1.5513 1.6826
0.6516 -1.5513 1.6826
9.9396 4.1751 0.0000
4.8161 2.0230 0.0000
12.7652 5.3620 0.0000
1.9905 0.8361 0.0000
7.3779 3.0990 0.0000
```

Space group   No. 139
E_form (uncorrected)   -1.632 eV per atom
Magnetization   28.0 μB per formula unit
VASP energy   -66.78 eV per cell
Calculated density   7.09 g cm⁻³

=====

No. 4
CeThPdAu after structural relaxation. Source: Alexandria via LeMat-Bulk, functional GGA-PBE.

Structure (POSCAR):
```
CeThPdAu
1.0
3.8672 0.0000 0.0000
0.0000 4.5890 0.0000
-1.9336 0.0000 5.7192
Ce Th Pd Au
1 1 1 1
Cartesian
0.0000 0.0000 1.6304
1.9336 2.2945 4.1450
0.0000 0.0000 4.7035
1.9336 2.2945 0.9594
```

Space group   No. 38
Distance to the lowest polymorph of the same formula   0.000 eV/atom
Energy relative to the elements   -0.666 eV/atom
Magnetization   1.1 μB per formula unit
VASP energy   -24.49 eV per cell
Calculated density   11.05 g cm⁻³

=====

No. 5
SrPmAgI6 after structural relaxation. Source: Alexandria via LeMat-Bulk, functional GGA-PBE.

Structure (POSCAR):
```
SrPmAgI6
1.0
7.5367 0.0000 0.0000
0.0000 7.5367 0.0000
0.0000 0.0000 14.0019
Sr Pm Ag I
2 2 2 12
Cartesian
3.7683 3.7683 6.9814
0.0000 0.0000 13.9824
3.7683 3.7683 11.6426
0.0000 0.0000 4.6416
3.7683 3.7683 2.3612
0.0000 0.0000 9.3621
1.4231 6.1135 7.0399
6.1135 1.4231 7.0399
2.3452 2.3452 0.0389
5.1915 5.1915 0.0389
1.5388 5.9978 2.4483
5.9978 1.5388 2.4483
2.2295 2.2295 9.4492
5.3072 5.3072 9.4492
5.9929 1.5438 11.5235
1.5438 5.9929 11.5235
5.3121 5.3121 4.5226
2.2246 2.2246 4.5226
```

Space group   No. 102
E_form (uncorrected)   -1.195 eV per atom
Magnetization   0.0 μB per formula unit
VASP energy   -58.67 eV per cell
Calculated density   4.60 g cm⁻³